1 | Density functional theory data (GGA-PBE) for crystalline MgMoI2N at its relaxed geometry.

a = 5.7374 Å, b = 5.7374 Å, c = 3.9236 Å
α = 90.00°, β = 90.00°, γ = 90.00°
Site moments in Bohr magnetons follow the coordinates.
Positions (direct):
I  0.0000  0.5000  0.0000  -0.01
I  0.5000  0.0000  0.0000  -0.01
Mo  0.5000  0.5000  0.5000  3.71
Mg  0.0000  0.0000  0.0000  0.00
N  0.0000  0.0000  0.5000  0.06

The volume is 129.2 Å³/f.u.

---

2 | Density functional theory data (GGA-PBE) for crystalline MgMoI2N at its relaxed geometry.

a = 5.6801 Å, b = 5.6801 Å, c = 3.8511 Å
α = 90.00°, β = 90.00°, γ = 90.00°
Site moments in Bohr magnetons follow the coordinates.
Positions (direct):
I  0.0000  0.5000  0.0000  0.01
I  0.5000  0.0000  0.0000  0.01
Mo  0.0000  0.0000  0.0000  0.73
Mg  0.5000  0.5000  0.5000  -0.02
N  0.0000  0.0000  0.5000  -0.07

The volume is 124.3 Å³/f.u.

---

Which of them is the least stable? Correct choice: 1.